Material: LaBi2P2
Method: DFT, PBE-GGA
State: relaxed

abc: 8.144 8.144 4.113
angles: 90.00 90.00 90.00
Sites, in units of the cell vectors:
La1 0.000 0.000 0.000
La2 0.500 0.500 0.000
Bi1 0.164 0.336 0.500
Bi2 0.336 0.836 0.500
Bi3 0.664 0.164 0.500
Bi4 0.836 0.664 0.500
P1 0.179 0.679 0.000
P2 0.321 0.179 0.000
P3 0.679 0.821 0.000
P4 0.821 0.321 0.000

Results
Offset from the most stable computed form   0 meV/atom
DFT formation energy   -191 kJ/mol of formula units
Volume   272.8 Å³/cell